First-principles (PBE) data for La2YOs after structural relaxation, as listed in the Alexandria database.

```
4
Lattice="-2.2730 2.2730 5.0045 2.2730 -2.2730 5.0045 2.2730 2.2730 -5.0045" Properties=species:S:1:pos:R:3 pbc="T T T"
La 0.0000 0.0000 0.0000
La 0.0000 2.2730 2.5023
Y 0.0000 0.0000 5.0045
Os 2.2730 0.0000 2.5023
```

Output
DFT formation energy	0.27	eV per atom
crystal system	tetragonal
space group	No. 119

---

First-principles (PBE) data for ScBe2Al after structural relaxation, as listed in the Alexandria database.

```
4
Lattice="3.9987 0.0000 0.0000 0.0000 3.9987 0.0000 0.0000 0.0000 3.5053" Properties=species:S:1:pos:R:3 pbc="T T T"
Sc 0.0000 0.0000 0.0000
Be 0.0000 1.9993 1.7527
Be 1.9993 0.0000 1.7527
Al 1.9993 1.9993 0.0000
```

Output
DFT formation energy	-0.06	eV per atom
crystal system	tetragonal
space group	No. 123

---

First-principles (PBE) data for Rb2BePH after structural relaxation, as listed in the Alexandria database.

```
5
Lattice="6.1774 0.0000 0.0000 0.0000 6.1774 0.0000 0.0000 0.0000 3.4603" Properties=species:S:1:pos:R:3 pbc="T T T"
Rb 0.0000 3.0887 0.0000
Rb 3.0887 0.0000 0.0000
Be 0.0000 0.0000 1.7301
P 3.0887 3.0887 1.7301
H 3.0887 3.0887 0.0000
```

Output
crystal system	tetragonal
space group	No. 123

---

The DOS(E_F) results, record by record, are as follows: 3.80, 1.95, 1.01 states/eV per cell.
The E_tot results, record by record, are as follows: -26.5, -17.8, -11.9 eV/cell.